Here is a geometry-optimized TlSiNi structure from Alexandria via LeMat-Bulk. Energies are from PBE-GGA.

Properties
* density of states at the Fermi level: 2.0 states/eV/f.u.
* polymorph energy (0 for the lowest one): 185 kJ/mol of formula units
* formation energy without anion corrections: 779 meV/atom
* crystal system: cubic
* energy: -3.744 eV/atom

Structure (POSCAR):
```
TlSiNi
1.0
-3.089 -3.128 0.161
-0.222 -2.695 3.470
-3.337 0.349 2.846
Si Tl Ni
1 1 1
Direct
0.500 0.500 0.500
0.750 0.750 0.750
0.000 0.000 0.000
```